4
Lattice="-2.786 1.420 -1.596 -3.042 -2.363 3.207 0.223 3.927 3.105" Properties=species:S:1:pos:R:3 comment="LaPrNi2 PBE relaxed" de_polymorph_mev_per_atom=98 dft_energy_ev_per_cell=-22.1 delta_e_f_ev_per_atom=-0.216 spacegroup="P4/mmm, No. 123" pbc="T T T"
Pr -2.802 1.493 2.358
La -1.393 0.710 -0.798
Ni -1.521 -1.181 1.603
Ni 0.112 1.964 1.553